Entry 1:
Compound: HfZrN2O
Source: Alexandria via LeMat-Bulk
Functional: PBE
Structure: relaxed

Cell: 4.2071 4.2071 3.9471 Å, 90.00 90.00 90.00°
Fractional positions:
N  0.0000  0.5000  0.0000
Zr  0.0000  0.0000  0.0000
N  0.5000  0.0000  0.0000
O  0.0000  0.0000  0.5000
Hf  0.5000  0.5000  0.5000

Calculated values
SG: P4/mmm (123)
Calculated density, g cm⁻³: 7.46
Energy, eV per atom: -8.759


Entry 2:
Compound: HfZrN2O
Source: Alexandria via LeMat-Bulk
Functional: PBE
Structure: relaxed

Cell: 4.1632 4.1632 3.9145 Å, 90.00 90.00 90.00°
Fractional positions:
Hf  0.0000  0.0000  0.0000
N  0.5000  0.0000  0.0000
O  0.0000  0.0000  0.5000
N  0.0000  0.5000  0.0000
Zr  0.5000  0.5000  0.5000

Calculated values
SG: P4/mmm (123)
Calculated density, g cm⁻³: 7.68
Energy, eV per atom: -9.098